No. 1
Density functional theory data (PBE) for an optimized crystal structure of NdDy2Ho.

Unit cell a=6.174 b=6.174 c=6.174 alpha=131.62 beta=131.62 gamma=70.84
Sites, in units of the cell vectors:
Nd 0.000 0.000 0.000
Dy 0.500 0.500 0.000
Dy 0.750 0.250 0.500
Ho 0.250 0.750 0.500

Output
**Energy above the lowest structure with this stoichiometry**: 0.013 eV per atom
**Total magnetization**: 0.00 Bohr magnetons per cell
**DFT total energy**: -18.47 eV per formula unit
**Formation enthalpy at 0 K**: 0.02 eV per atom



No. 2
Density functional theory data (PBE) for an optimized crystal structure of RbTl2Pb.

Unit cell a=7.204 b=5.118 c=8.319 alpha=90.00 beta=92.74 gamma=90.00
Sites, in units of the cell vectors:
Rb 0.248 0.250 0.409
Rb 0.752 0.750 0.591
Tl 0.021 0.250 0.884
Tl 0.259 0.750 0.754
Tl 0.741 0.250 0.246
Tl 0.979 0.750 0.116
Pb 0.450 0.750 0.112
Pb 0.550 0.250 0.888

Output
**Energy above the lowest structure with this stoichiometry**: 0.000 eV per atom
**Total magnetization**: 0.00 Bohr magnetons per cell
**DFT total energy**: -9.81 eV per formula unit
**Formation enthalpy at 0 K**: -0.10 eV per atom



No. 3
Density functional theory data (PBE) for an optimized crystal structure of Ca2HoEr.

Unit cell a=5.813 b=5.813 c=5.813 alpha=60.00 beta=60.00 gamma=60.00
Sites, in units of the cell vectors:
Ca 0.250 0.250 0.250
Ca 0.750 0.750 0.750
Ho 0.000 0.000 0.000
Er 0.500 0.500 0.500

Output
**Energy above the lowest structure with this stoichiometry**: 0.016 eV per atom
**Total magnetization**: 0.07 Bohr magnetons per cell
**DFT total energy**: -12.29 eV per formula unit
**Formation enthalpy at 0 K**: 0.21 eV per atom



Repeat the third record exactly.
Density functional theory data (PBE) for an optimized crystal structure of Ca2HoEr.

Unit cell a=5.813 b=5.813 c=5.813 alpha=60.00 beta=60.00 gamma=60.00
Sites, in units of the cell vectors:
Ca 0.250 0.250 0.250
Ca 0.750 0.750 0.750
Ho 0.000 0.000 0.000
Er 0.500 0.500 0.500

Output
**Energy above the lowest structure with this stoichiometry**: 0.016 eV per atom
**Total magnetization**: 0.07 Bohr magnetons per cell
**DFT total energy**: -12.29 eV per formula unit
**Formation enthalpy at 0 K**: 0.21 eV per atom



Question: Look up the energy above the lowest structure with this stoichiometry of the third one.
Answer: 0.016 eV per atom



Question: The lowest DFT total energy belongs to which entry?
Answer: NdDy2Ho